VASP calculation (PBE-GGA) on a relaxed structure of RbReBi.

a = 4.947 Å, b = 4.947 Å, c = 4.947 Å
α = 60.00°, β = 60.00°, γ = 60.00°
Fractional coordinates of all 3 atoms:
1 Rb 0.750 0.750 0.750
2 Bi 0.250 0.250 0.250
3 Re 0.000 0.000 0.000

Computed properties:
**DFT total energy**: -12.6 eV per formula unit
**Distance to the lowest polymorph of the same formula**: 0 meV/atom
**Size of the total moment**: 1.00 μB per cell
**Space group**: F-43m